# CsAl

Crystalline CsAl at its relaxed geometry (GGA-PBE, the Alexandria database).

* formation energy: 1147.5 meV/atom
* symmetry: No. 223
* energy relative to the lowest polymorph listed for this composition: 0.963 eV/atom

a = 10.782 Å, b = 10.782 Å, c = 10.782 Å
α = 90.00°, β = 90.00°, γ = 90.00°
Fractional positions:
Cs: 0.000 0.750 0.500
Cs: 0.500 0.000 0.750
Cs: 0.750 0.500 0.000
Cs: 0.000 0.250 0.500
Cs: 0.250 0.500 0.000
Cs: 0.500 0.000 0.250
Al: 0.000 0.500 0.750
Al: 0.000 0.500 0.250
Al: 0.500 0.750 0.000
Al: 0.750 0.000 0.500
Al: 0.500 0.250 0.000
Al: 0.250 0.000 0.500